DFT (PBE-GGA) results for crystalline Mg6CuW at its relaxed geometry.

## Properties
The volume comes out at 19.0 Å³/atom. The crystal system is orthorhombic. The calculation puts the electronic total energy at -3.03 eV per atom.

extended XYZ file:
```
8
Lattice="3.011 -5.286 0.000 3.011 5.286 0.000 0.000 0.000 4.780" Properties=species:S:1:pos:R:3 pbc="T T T"
Mg 1.450 -0.877 2.390
Mg 4.442 0.949 0.000
Mg 4.571 -0.877 2.390
Mg 3.011 -1.762 0.000
Mg 3.011 -3.511 2.390
Mg 1.579 0.949 0.000
W 3.011 1.831 2.390
Cu 3.011 3.298 0.000
```

---

DFT (PBE-GGA) results for crystalline MgCu4W at its relaxed geometry.

## Properties
The volume comes out at 13.7 Å³/atom. The crystal system is cubic. The calculation puts the electronic total energy at -4.86 eV per atom.

extended XYZ file:
```
6
Lattice="0.000 3.450 3.450 3.450 0.000 3.450 3.450 3.450 0.000" Properties=species:S:1:pos:R:3 pbc="T T T"
Cu 2.586 2.586 2.586
Cu 4.314 4.314 2.586
Cu 4.314 2.586 4.314
Cu 2.586 4.314 4.314
Mg 5.175 5.175 5.175
W 0.000 0.000 0.000
```

---

DFT (PBE-GGA) results for crystalline Y2Mg2Cu at its relaxed geometry.

## Properties
The volume comes out at 24.0 Å³/atom. The crystal system is monoclinic. The calculation puts the electronic total energy at -4.15 eV per atom.

extended XYZ file:
```
10
Lattice="8.199 0.005 0.005 -6.679 4.756 -0.005 -1.288 0.411 6.144" Properties=species:S:1:pos:R:3 pbc="T T T"
Y 2.688 1.765 4.267
Y -5.433 4.358 0.036
Y 6.396 0.581 2.568
Y -1.859 3.217 0.008
Cu 5.435 0.888 5.396
Cu -5.836 4.487 3.266
Mg -3.168 3.635 2.912
Mg -0.503 2.784 4.566
Mg 3.646 1.459 1.212
Mg 0.782 2.373 1.770
```

---

DFT (PBE-GGA) results for crystalline Y2MgCu4 at its relaxed geometry.

## Properties
The volume comes out at 21.6 Å³/atom. The crystal system is tetragonal. The calculation puts the electronic total energy at -4.14 eV per atom.

extended XYZ file:
```
7
Lattice="-0.982 -7.490 2.350 -6.469 -4.063 2.055 3.321 4.863 -5.282" Properties=species:S:1:pos:R:3 pbc="T T T"
Mg 0.000 0.000 0.000
Y -2.739 -4.246 1.619
Y -4.713 -7.307 2.786
Cu 1.170 -1.313 -1.466
Cu -6.165 -9.558 3.644
Cu -1.287 -1.995 0.761
Cu -1.574 0.400 -1.614
```

---

DFT (PBE-GGA) results for crystalline Y3Mg7Cu2 at its relaxed geometry.

## Properties
The volume comes out at 23.0 Å³/atom. The crystal system is trigonal. The calculation puts the electronic total energy at -3.31 eV per atom.

extended XYZ file:
```
12
Lattice="9.910 0.069 0.043 8.143 5.647 0.043 8.143 2.579 5.025" Properties=species:S:1:pos:R:3 pbc="T T T"
Mg 11.016 1.940 2.929
Mg 13.098 4.148 2.555
Mg 11.016 3.488 0.415
Mg 15.181 4.807 4.695
Mg 15.181 6.356 2.181
Mg 10.125 4.754 2.929
Mg 16.072 3.541 2.181
Y 22.458 7.112 4.381
Y 3.738 1.184 0.729
Y 0.000 0.000 0.000
Cu 8.748 2.770 1.706
Cu 17.449 5.525 3.403
```

---

DFT (PBE-GGA) results for crystalline Y2Mg4Cu at its relaxed geometry.

## Properties
The volume comes out at 27.3 Å³/atom. The crystal system is tetragonal. The calculation puts the electronic total energy at -3.02 eV per atom.

extended XYZ file:
```
7
Lattice="-3.728 3.728 3.442 3.728 -3.728 3.442 3.728 3.728 -3.442" Properties=species:S:1:pos:R:3 pbc="T T T"
Mg -1.579 1.579 3.442
Mg 1.579 -1.579 3.442
Mg 1.579 1.579 3.442
Mg 2.150 2.150 0.000
Y 0.000 3.728 1.721
Y 3.728 0.000 1.721
Cu 0.000 0.000 0.000
```

---

DFT (PBE-GGA) results for crystalline Y2Mg2Cu at its relaxed geometry.

## Properties
The volume comes out at 28.1 Å³/atom. The crystal system is tetragonal. The calculation puts the electronic total energy at -3.81 eV per atom.

extended XYZ file:
```
10
Lattice="-0.276 1.969 7.103 5.882 -4.225 1.400 3.107 3.999 -0.988" Properties=species:S:1:pos:R:3 pbc="T T T"
Cu 2.803 -1.128 4.251
Cu 0.000 0.000 0.000
Mg 6.473 -0.909 3.206
Mg 3.589 0.798 1.045
Mg 2.240 2.652 4.308
Mg 5.125 0.945 6.470
Y 3.829 -2.470 2.047
Y 4.769 -2.259 5.854
Y 1.777 0.214 6.456
Y 0.837 0.003 2.648
```

---

DFT (PBE-GGA) results for crystalline Y11Mg9Cu4 at its relaxed geometry.

## Properties
The volume comes out at 25.2 Å³/atom. The crystal system is orthorhombic. The calculation puts the electronic total energy at -4.40 eV per atom.

extended XYZ file:
```
24
Lattice="-3.385 -0.371 1.324 -4.924 0.447 -12.465 2.944 -12.442 4.045" Properties=species:S:1:pos:R:3 pbc="T T T"
Y 0.032 -7.672 -2.065
Y 1.709 -10.419 1.454
Y -2.012 -4.323 -6.355
Y -1.818 -0.803 -4.873
Y -0.162 -11.191 -3.547
Y 0.835 -5.149 0.694
Y -3.689 -1.576 -9.874
Y 0.000 0.000 0.000
Y -2.815 -6.846 -9.114
Y -0.607 -3.675 -2.580
Y -1.373 -8.320 -5.840
Cu -2.202 -9.221 -3.170
Cu -3.163 -3.144 -3.926
Cu -1.617 -5.677 -0.682
Cu -3.748 -6.689 -6.414
Mg -0.578 -8.017 1.319
Mg -2.682 -6.183 -3.548
Mg -2.543 -1.012 -1.745
Mg -2.822 -11.353 -5.351
Mg -4.787 -4.348 -8.416
Mg -3.946 -9.511 -7.711
Mg -4.368 -1.809 -6.633
Mg -0.997 -10.556 -0.463
Mg -1.419 -2.854 0.615
```

---

DFT (PBE-GGA) results for crystalline Y3MgCu2 at its relaxed geometry.

## Properties
The volume comes out at 27.6 Å³/atom. The crystal system is orthorhombic. The calculation puts the electronic total energy at -4.72 eV per atom.

extended XYZ file:
```
12
Lattice="-3.343 -7.229 -3.106 8.455 -0.249 -1.241 0.562 -2.086 4.250" Properties=species:S:1:pos:R:3 pbc="T T T"
Y 2.538 -7.631 -0.070
Y -0.961 -7.634 0.391
Y 5.148 -4.877 -1.738
Y 0.526 -4.687 1.641
Y 3.136 -1.933 -0.027
Y 6.635 -1.930 -0.488
Mg 0.587 -5.508 -1.444
Mg 5.086 -4.056 1.348
Cu 0.906 -1.957 1.594
Cu 4.487 -6.564 -3.815
Cu 4.768 -7.607 -1.691
Cu 0.625 -0.914 -0.531
```

---

DFT (PBE-GGA) results for crystalline Y2MgCu at its relaxed geometry.

## Properties
The volume comes out at 26.9 Å³/atom. The crystal system is orthorhombic. The calculation puts the electronic total energy at -4.58 eV per atom.

extended XYZ file:
```
8
Lattice="3.399 0.000 0.000 0.000 4.839 0.000 0.000 0.000 13.075" Properties=species:S:1:pos:R:3 pbc="T T T"
Cu 0.000 2.420 4.897
Cu 1.699 0.000 8.178
Y 0.000 2.420 7.744
Y 1.699 0.000 5.331
Y 0.000 0.000 10.412
Y 1.699 2.420 2.663
Mg 0.000 2.420 12.661
Mg 1.699 0.000 0.414
```

---

DFT (PBE-GGA) results for crystalline Y2Mg4Cu at its relaxed geometry.

## Properties
The volume comes out at 26.2 Å³/atom. The crystal system is tetragonal. The calculation puts the electronic total energy at -3.15 eV per atom.

extended XYZ file:
```
7
Lattice="-2.402 2.402 7.963 2.402 -2.402 7.963 2.402 2.402 -7.963" Properties=species:S:1:pos:R:3 pbc="T T T"
Mg 0.000 0.000 2.535
Mg 0.000 0.000 13.390
Mg 2.402 0.000 0.000
Mg 0.000 2.402 0.000
Cu 0.000 0.000 0.000
Y 0.000 0.000 5.722
Y 0.000 0.000 10.204
```

---

DFT (PBE-GGA) results for crystalline Y2MgCu2 at its relaxed geometry.

## Properties
The volume comes out at 21.6 Å³/atom. The crystal system is orthorhombic. The calculation puts the electronic total energy at -4.76 eV per atom.

extended XYZ file:
```
5
Lattice="5.532 0.000 0.001 0.587 5.501 -0.001 -2.375 -3.511 3.554" Properties=species:S:1:pos:R:3 pbc="T T T"
Cu 0.026 -0.029 2.812
Cu 3.718 2.017 0.742
Mg 0.000 0.000 0.000
Y 2.852 -0.611 1.777
Y 0.892 2.600 1.776
```

---

DFT (PBE-GGA) results for crystalline Y3MgCu2 at its relaxed geometry.

## Properties
The volume comes out at 23.5 Å³/atom. The crystal system is orthorhombic. The calculation puts the electronic total energy at -4.96 eV per atom.

extended XYZ file:
```
12
Lattice="-5.084 -4.222 2.287 4.948 -3.837 3.114 -0.516 3.207 4.772" Properties=species:S:1:pos:R:3 pbc="T T T"
Cu 2.025 -2.336 5.281
Cu 2.284 -3.939 2.895
Cu -2.420 -4.120 2.507
Cu -2.678 -2.516 4.893
Y -2.166 -3.767 7.534
Y 1.513 -1.086 2.639
Y -0.399 1.702 4.050
Y 1.184 -3.638 7.810
Y -1.837 -1.214 2.363
Y -0.254 -6.554 6.123
Mg -0.208 -3.853 4.312
Mg -0.445 -1.000 5.861
```

---

DFT (PBE-GGA) results for crystalline Y3MgCu2 at its relaxed geometry.

## Properties
The volume comes out at 22.8 Å³/atom. The crystal system is hexagonal. The calculation puts the electronic total energy at -4.83 eV per atom.

extended XYZ file:
```
12
Lattice="-4.216 0.630 -2.566 0.158 -3.247 3.767 -3.550 9.223 8.099" Properties=species:S:1:pos:R:3 pbc="T T T"
Y -1.775 4.612 4.049
Y 0.000 0.000 0.000
Y -3.486 3.726 6.644
Y -3.170 0.407 0.484
Y -4.438 6.200 8.816
Y -4.122 2.880 2.656
Mg -0.888 2.306 2.025
Mg -6.721 4.301 7.275
Cu -2.562 1.326 4.536
Cu -5.796 7.230 6.475
Cu -1.812 -0.623 2.825
Cu -5.046 5.281 4.764
```

---

DFT (PBE-GGA) results for crystalline Y2MgCu at its relaxed geometry.

## Properties
The volume comes out at 26.2 Å³/atom. The crystal system is tetragonal. The calculation puts the electronic total energy at -4.49 eV per atom.

extended XYZ file:
```
8
Lattice="8.181 0.000 0.000 0.000 8.181 0.000 4.090 4.090 3.130" Properties=species:S:1:pos:R:3 pbc="T T T"
Y 6.136 5.707 2.347
Y 6.564 2.045 0.782
Y 10.226 10.655 2.347
Y 1.617 6.136 0.782
Mg 4.090 8.181 1.565
Mg 4.090 4.090 0.000
Cu 8.181 4.090 1.565
Cu 0.000 0.000 0.000
```

---

DFT (PBE-GGA) results for crystalline Y2Mg2Cu at its relaxed geometry.

## Properties
The volume comes out at 24.1 Å³/atom. The crystal system is monoclinic. The calculation puts the electronic total energy at -4.09 eV per atom.

extended XYZ file:
```
5
Lattice="1.638 5.860 -0.029 -1.638 5.860 -0.029 0.000 5.270 6.247" Properties=species:S:1:pos:R:3 pbc="T T T"
Y 0.000 10.059 3.962
Y 0.000 6.932 2.227
Mg 0.000 13.129 5.178
Mg 0.000 3.862 1.011
Cu 0.000 0.000 0.000
```

---

DFT (PBE-GGA) results for crystalline Y3Mg4Cu2 at its relaxed geometry.

## Properties
The volume comes out at 23.9 Å³/atom. The crystal system is monoclinic. The calculation puts the electronic total energy at -3.87 eV per atom.

extended XYZ file:
```
9
Lattice="-7.281 3.149 -1.254 -8.027 -0.235 -0.112 0.473 2.324 7.197" Properties=species:S:1:pos:R:3 pbc="T T T"
Mg -2.607 2.533 5.806
Mg -6.774 2.072 1.716
Mg -12.229 2.705 0.025
Mg -8.062 3.166 4.115
Y -2.180 1.338 2.541
Y -12.656 3.900 3.290
Y 0.000 0.000 0.000
Cu -5.156 3.193 6.093
Cu -9.679 2.045 -0.262
```

---

DFT (PBE-GGA) results for crystalline Y2MgCu at its relaxed geometry.

## Properties
The volume comes out at 27.4 Å³/atom. The crystal system is hexagonal. The calculation puts the electronic total energy at -4.24 eV per atom.

extended XYZ file:
```
8
Lattice="2.673 -4.629 0.000 2.673 4.629 0.000 0.000 0.000 8.852" Properties=species:S:1:pos:R:3 pbc="T T T"
Y 2.673 -1.543 8.177
Y 2.673 1.543 0.675
Y 2.673 -1.543 5.101
Y 2.673 1.543 3.751
Cu 2.673 -1.543 2.213
Cu 2.673 1.543 6.639
Mg 0.000 0.000 4.426
Mg 0.000 0.000 0.000
```

---

DFT (PBE-GGA) results for crystalline Y2Mg2Cu at its relaxed geometry.

## Properties
The volume comes out at 25.8 Å³/atom. The crystal system is tetragonal. The calculation puts the electronic total energy at -3.85 eV per atom.

extended XYZ file:
```
5
Lattice="7.534 2.069 5.268 3.260 3.678 8.040 -5.549 -5.275 -5.494" Properties=species:S:1:pos:R:3 pbc="T T T"
Mg 1.554 0.638 4.600
Mg 3.691 -0.166 3.214
Y 6.354 3.383 7.834
Y 4.440 2.364 5.474
Cu 0.000 0.000 0.000
```

---

DFT (PBE-GGA) results for crystalline YMg6Cu at its relaxed geometry.

## Properties
The volume comes out at 22.4 Å³/atom. The crystal system is orthorhombic. The calculation puts the electronic total energy at -2.51 eV per atom.

extended XYZ file:
```
8
Lattice="3.097 -5.891 0.000 3.097 5.891 0.000 0.000 0.000 4.909" Properties=species:S:1:pos:R:3 pbc="T T T"
Cu 3.097 1.752 2.455
Mg 1.545 -0.776 2.455
Mg 4.649 -0.776 2.455
Mg 3.097 -3.682 2.455
Mg 4.642 0.864 0.000
Mg 3.097 -1.838 0.000
Mg 1.553 0.864 0.000
Y 3.097 3.591 0.000
```

---

DFT (PBE-GGA) results for crystalline Y2Mg2Cu at its relaxed geometry.

## Properties
The volume comes out at 24.0 Å³/atom. The crystal system is monoclinic. The calculation puts the electronic total energy at -4.12 eV per atom.

extended XYZ file:
```
5
Lattice="-2.529 0.226 4.379 0.704 -3.578 3.511 2.785 0.675 7.410" Properties=species:S:1:pos:R:3 pbc="T T T"
Y 0.081 -0.616 3.001
Y 0.879 -2.061 12.300
Cu 0.000 0.000 0.000
Mg 0.233 -1.856 8.997
Mg 0.727 -0.821 6.303
```

---

DFT (PBE-GGA) results for crystalline YMg4Cu2 at its relaxed geometry.

## Properties
The volume comes out at 20.4 Å³/atom. The crystal system is tetragonal. The calculation puts the electronic total energy at -3.13 eV per atom.

extended XYZ file:
```
14
Lattice="3.442 0.000 0.000 0.000 9.118 0.000 0.000 0.000 9.118" Properties=species:S:1:pos:R:3 pbc="T T T"
Mg 1.721 7.455 3.804
Mg 1.721 3.804 7.455
Mg 0.000 0.755 2.896
Mg 1.721 1.663 5.315
Mg 0.000 8.363 6.222
Mg 1.721 5.315 1.663
Mg 0.000 6.222 8.363
Mg 0.000 2.896 0.755
Cu 0.000 1.698 7.421
Cu 1.721 2.862 2.862
Cu 1.721 6.257 6.257
Cu 0.000 7.421 1.698
Y 0.000 4.559 4.559
Y 1.721 0.000 0.000
```

---

DFT (PBE-GGA) results for crystalline Y2MgCu2 at its relaxed geometry.

## Properties
The volume comes out at 21.7 Å³/atom. The crystal system is monoclinic. The calculation puts the electronic total energy at -4.74 eV per atom.

extended XYZ file:
```
10
Lattice="-0.094 -4.092 4.034 4.235 -3.830 0.645 4.476 3.155 5.961" Properties=species:S:1:pos:R:3 pbc="T T T"
Cu 6.387 -3.411 4.808
Cu 2.231 -1.356 5.832
Cu 5.634 -2.014 10.129
Cu 2.983 -2.754 0.511
Mg 4.666 -3.083 2.674
Mg 3.951 -1.684 7.966
Y 5.059 -0.710 4.955
Y 3.558 -4.057 5.685
Y 1.414 -2.373 3.076
Y 7.203 -2.394 7.564
```

---

| no. | D(E_F) (states/eV/cell) |
| --- | --- |
| 1 | 3.279 |
| 2 | 4.820 |
| 3 | 9.080 |
| 4 | 4.372 |
| 5 | 11.311 |
| 6 | 8.223 |
| 7 | 13.398 |
| 8 | 25.055 |
| 9 | 9.166 |
| 10 | 8.251 |
| 11 | 6.704 |
| 12 | 3.677 |
| 13 | 12.840 |
| 14 | 10.673 |
| 15 | 11.614 |
| 16 | 5.364 |
| 17 | 5.334 |
| 18 | 8.161 |
| 19 | 4.297 |
| 20 | 2.607 |
| 21 | 4.393 |
| 22 | 5.782 |
| 23 | 7.671 |